! CeS2F4 | Alexandria via LeMat-Bulk | PBE-GGA | optimized geometry; values from VASP
! Total moment, μB per atom: 0.0576
! Total DFT energy (no corrections), eV/atom: -5.63
! Raw formation energy, eV per atom: -2.533
&SYSTEM
  ibrav = 0, nat = 7, ntyp = 3
/
ATOMIC_SPECIES
S 32.06 S.upf
Ce 140.12 Ce.upf
F 19.00 F.upf
CELL_PARAMETERS angstrom
-2.8833 2.4212 -0.5903
0.7089 -0.0760 -3.8454
-4.8464 -7.9012 0.9150
ATOMIC_POSITIONS crystal
S 0.1920 0.1039 0.4658
S 0.8080 0.8961 0.5342
Ce 0.0000 0.0000 0.0000
F 0.0532 0.5554 0.1367
F 0.9468 0.4446 0.8633
F 0.4452 0.9430 0.8602
F 0.5548 0.0570 0.1398